! ZnFeCoSb PBE-GGA relaxed; values from VASP
! N(E_F) = 2.51 states/eV/cell
! Uncorrected energy = -20.5 eV/cell
&SYSTEM
  ibrav = 0, nat = 4, ntyp = 4
/
ATOMIC_SPECIES
Co 58.93 Co.upf
Fe 55.84 Fe.upf
Sb 121.76 Sb.upf
Zn 65.41 Zn.upf
CELL_PARAMETERS angstrom
-0.6530 1.2113 4.0064
-3.9239 0.0129 1.5961
-1.1068 -2.8588 2.9234
ATOMIC_POSITIONS angstrom
Co -1.4209 -0.4087 2.1315
Fe -4.2627 -1.2260 6.3944
Sb -2.8418 -0.8173 4.2629
Zn 0.0000 0.0000 0.0000

! Ca2YC2 PBE-GGA relaxed; values from VASP
! N(E_F) = 5.89 states/eV/cell
! Formation enthalpy at 0 K = 984 meV/atom
! Distance to the lowest polymorph of the same formula = 0.057 eV per atom
! Uncorrected energy = -24.0 eV/cell
&SYSTEM
  ibrav = 0, nat = 5, ntyp = 3
/
ATOMIC_SPECIES
Y 88.91 Y.upf
C 12.01 C.upf
Ca 40.08 Ca.upf
CELL_PARAMETERS angstrom
4.6237 0.0000 0.0000
0.0000 4.6237 0.0000
2.3118 2.3118 4.7080
ATOMIC_POSITIONS angstrom
Y 0.0000 0.0000 0.0000
C 4.6237 2.3118 2.3540
C 2.3118 4.6237 2.3540
Ca 2.3118 2.3118 1.5825
Ca 4.6237 4.6237 3.1254

! Zr4GaH2 PBE-GGA relaxed; values from VASP
! N(E_F) = 11.95 states/eV/cell
! Uncorrected energy = -90.3 eV/cell
&SYSTEM
  ibrav = 0, nat = 14, ntyp = 3
/
ATOMIC_SPECIES
H 1.01 H.upf
Zr 91.22 Zr.upf
Ga 69.72 Ga.upf
CELL_PARAMETERS angstrom
-4.9321 4.6456 -0.3633
0.9266 -3.9127 -5.4655
-1.7716 -4.2085 5.0251
ATOMIC_POSITIONS angstrom
H -2.7154 -1.5703 -3.7527
H -1.5954 -4.0435 1.6716
Zr -2.9661 -2.4560 3.1421
Ga -1.4240 -3.8773 -1.6775
Zr -2.4587 0.1986 0.9586
Zr -1.5065 -1.2582 -2.0472
Ga -5.7770 -3.4756 -0.8035
Zr -3.1841 -3.8056 0.2977
Zr -5.1621 -0.9839 -0.1568
H -4.0635 -1.7222 1.4914
H -3.1810 0.3847 -1.0188
Zr -4.9433 0.3664 2.6872
Zr -3.8971 0.5687 -2.9992
Zr -4.8486 2.0262 0.0063

! Zr2AlNiS PBE-GGA relaxed; values from VASP
! N(E_F) = 6.67 states/eV/cell
! Uncorrected energy = -30.6 eV/cell
&SYSTEM
  ibrav = 0, nat = 5, ntyp = 4
/
ATOMIC_SPECIES
Al 26.98 Al.upf
Zr 91.22 Zr.upf
S 32.06 S.upf
Ni 58.69 Ni.upf
CELL_PARAMETERS angstrom
-3.9597 -2.5279 0.7704
1.9262 -3.5628 -1.7903
1.6419 -1.2658 4.2854
ATOMIC_POSITIONS angstrom
Al 0.9631 -1.7814 -0.8952
Zr -1.9798 -1.2640 0.3852
S 0.0000 0.0000 0.0000
Ni -0.1958 -3.6783 1.6328
Zr 0.8209 -0.6329 2.1427

! BeAg2Ir PBE-GGA relaxed; values from VASP
! N(E_F) = 2.30 states/eV/cell
! Formation enthalpy at 0 K = 389 meV/atom
! Uncorrected energy = -16.7 eV/cell
&SYSTEM
  ibrav = 0, nat = 4, ntyp = 3
/
ATOMIC_SPECIES
Ag 107.87 Ag.upf
Be 9.01 Be.upf
Ir 192.22 Ir.upf
CELL_PARAMETERS angstrom
4.8324 0.0113 0.0000
-1.9522 4.4205 0.0000
0.0000 0.0000 2.8118
ATOMIC_POSITIONS angstrom
Ag 0.0000 0.0000 0.0000
Be 2.4162 0.0057 1.4059
Ag 1.4401 2.2159 0.0000
Ir -0.9761 2.2103 1.4059

! AsOs2Rh PBE-GGA relaxed; values from VASP
! N(E_F) = 4.90 states/eV/cell
! Formation enthalpy at 0 K = 487 meV/atom
! Uncorrected energy = -32.5 eV/cell
&SYSTEM
  ibrav = 0, nat = 4, ntyp = 3
/
ATOMIC_SPECIES
Rh 102.91 Rh.upf
Os 190.23 Os.upf
As 74.92 As.upf
CELL_PARAMETERS angstrom
-2.4320 2.3403 2.1532
-0.5351 -2.8517 2.4952
2.9924 1.2280 2.0451
ATOMIC_POSITIONS angstrom
Rh -1.4835 -0.2557 2.3242
Os 1.2286 -0.8119 2.2702
Os 0.0000 0.0000 0.0000
As 0.2802 1.7842 2.0991

! NiRh2Br PBE-GGA relaxed; values from VASP
! N(E_F) = 7.77 states/eV/cell
! Distance to the lowest polymorph of the same formula = 0.281 eV per atom
! Uncorrected energy = -19.6 eV/cell
&SYSTEM
  ibrav = 0, nat = 4, ntyp = 3
/
ATOMIC_SPECIES
Ni 58.69 Ni.upf
Br 79.90 Br.upf
Rh 102.91 Rh.upf
CELL_PARAMETERS angstrom
-1.4836 -2.4015 0.4269
0.5616 0.9176 -2.6445
7.5189 -4.6479 -0.0161
ATOMIC_POSITIONS angstrom
Ni 5.1781 -4.2279 -1.1209
Br 1.4187 -1.9040 -1.1128
Rh 7.3981 -4.5733 -0.0158
Rh 3.8802 -2.3986 -0.0083

! CeSi2Ru4 PBE-GGA relaxed; values from VASP
! N(E_F) = 13.03 states/eV/cell
! Distance to the lowest polymorph of the same formula = 0.000 eV per atom
! Uncorrected energy = -116.1 eV/cell
&SYSTEM
  ibrav = 0, nat = 14, ntyp = 3
/
ATOMIC_SPECIES
Si 28.09 Si.upf
Ru 101.07 Ru.upf
Ce 140.12 Ce.upf
CELL_PARAMETERS angstrom
-3.5655 -0.8944 1.2135
2.9346 -4.7529 5.1190
0.3072 5.6348 5.0558
ATOMIC_POSITIONS angstrom
Si -0.8781 -0.2011 3.4461
Ru 2.2169 2.0690 8.0385
Ce 1.6209 0.4409 5.0874
Si 0.8877 3.3397 5.0697
Si 2.3541 -2.4579 5.1050
Ru -1.1394 2.0498 4.3375
Ru 2.9107 -0.6741 8.0552
Ce -1.7827 -0.4472 0.6068
Ru 0.8157 -2.0623 7.0508
Ru -0.2833 2.2827 7.0244
Ru 0.3311 1.5560 2.1196
Ru -0.0404 -2.2952 4.3639
Ru 1.0249 -1.1871 2.1363
Si 0.5544 0.1886 7.9422

! Pt2PbF PBE-GGA relaxed; values from VASP
! N(E_F) = 1.33 states/eV/cell
! Distance to the lowest polymorph of the same formula = 0.014 eV per atom
! Uncorrected energy = -18.4 eV/cell
&SYSTEM
  ibrav = 0, nat = 4, ntyp = 3
/
ATOMIC_SPECIES
Pt 195.08 Pt.upf
F 19.00 F.upf
Pb 207.20 Pb.upf
CELL_PARAMETERS angstrom
0.1518 3.0110 3.4264
-1.0906 4.3677 -0.7503
-3.8712 1.7111 1.7074
ATOMIC_POSITIONS angstrom
Pt -1.2025 2.2724 1.0959
F 0.0000 0.0000 0.0000
Pt -3.6075 6.8173 3.2876
Pb -2.4050 4.5449 2.1917

! Cs2Au2C PBE-GGA relaxed; values from VASP
! N(E_F) = 3.10 states/eV/cell
! Formation enthalpy at 0 K = 1092 meV/atom
! Uncorrected energy = -24.1 eV/cell
&SYSTEM
  ibrav = 0, nat = 10, ntyp = 3
/
ATOMIC_SPECIES
Cs 132.91 Cs.upf
C 12.01 C.upf
Au 196.97 Au.upf
CELL_PARAMETERS angstrom
-7.6102 5.1074 -1.5847
-3.4664 -6.8103 -5.3025
-2.2253 -2.0482 4.0854
ATOMIC_POSITIONS angstrom
Cs -2.5184 -1.1468 -1.9467
Cs -5.9041 2.2310 -2.0974
C -5.5383 -0.8514 -3.4436
Au -9.3292 0.8514 -1.4925
Au -4.4962 0.3172 0.8722
C 0.0000 0.0000 0.0000
Au -8.8057 -4.0683 -3.6739
Cs -5.1726 -3.9339 -4.7897
Cs -8.5582 -0.5561 -4.9404
Au -3.9727 -4.6025 -1.3092

! ZrIn2Hg PBE-GGA relaxed; values from VASP
! N(E_F) = 1.14 states/eV/cell
! Formation enthalpy at 0 K = -205 meV/atom
! Uncorrected energy = -15.1 eV/cell
&SYSTEM
  ibrav = 0, nat = 4, ntyp = 3
/
ATOMIC_SPECIES
In 114.82 In.upf
Zr 91.22 Zr.upf
Hg 200.59 Hg.upf
CELL_PARAMETERS angstrom
-4.0636 0.5876 1.4594
-0.1325 -4.2986 1.3616
1.6233 1.2254 4.0265
ATOMIC_POSITIONS angstrom
In 0.7454 -1.5366 2.6941
Zr -2.0981 -1.8555 1.4105
Hg -1.2202 0.9065 2.7430
In 0.0000 0.0000 0.0000

! Sc3Cd2Ru PBE-GGA relaxed; values from VASP
! N(E_F) = 7.64 states/eV/cell
! Formation enthalpy at 0 K = -416 meV/atom
! Uncorrected energy = -65.2 eV/cell
&SYSTEM
  ibrav = 0, nat = 12, ntyp = 3
/
ATOMIC_SPECIES
Cd 112.41 Cd.upf
Ru 101.07 Ru.upf
Sc 44.96 Sc.upf
CELL_PARAMETERS angstrom
-4.1361 -1.8195 -1.5131
-0.0757 -7.3393 1.5286
-2.9293 1.3580 6.3748
ATOMIC_POSITIONS angstrom
Cd -1.4647 0.6790 3.1874
Cd -2.8726 -2.3609 3.1880
Cd -4.2685 -5.4398 3.2024
Ru -2.7988 -6.1351 0.0207
Sc -4.0803 -3.7712 0.6816
Sc -3.0609 -4.0295 5.7087
Cd 0.0000 0.0000 0.0000
Ru -1.4130 -3.0237 -0.0052
Sc -5.7274 -3.0078 4.2657
Sc -2.7395 -0.5985 0.7046
Sc -1.4137 -4.7929 2.1247
Sc -4.3260 0.1370 4.1571

! BaFeAg PBE-GGA relaxed; values from VASP
! N(E_F) = 2.71 states/eV/cell
! Formation enthalpy at 0 K = 654 meV/atom
! Uncorrected energy = -11.3 eV/cell
&SYSTEM
  ibrav = 0, nat = 3, ntyp = 3
/
ATOMIC_SPECIES
Ba 137.33 Ba.upf
Fe 55.84 Fe.upf
Ag 107.87 Ag.upf
CELL_PARAMETERS angstrom
5.0012 0.0000 0.0000
2.5006 4.3312 0.0000
2.5006 1.4437 4.0835
ATOMIC_POSITIONS angstrom
Ba 5.0012 2.8875 2.0417
Fe 7.5018 4.3312 3.0626
Ag 0.0000 0.0000 0.0000

! Ac12AgSn7 PBE-GGA relaxed; values from VASP
! N(E_F) = 18.42 states/eV/cell
! Formation enthalpy at 0 K = -451 meV/atom
! Uncorrected energy = -89.2 eV/cell
&SYSTEM
  ibrav = 0, nat = 20, ntyp = 3
/
ATOMIC_SPECIES
Sn 118.71 Sn.upf
Ac 227.00 Ac.upf
Ag 107.87 Ag.upf
CELL_PARAMETERS angstrom
9.8130 -0.1983 -0.2976
-2.9191 9.3709 -0.2976
-2.9191 -3.8839 8.5333
ATOMIC_POSITIONS angstrom
Sn 7.6463 3.2413 -0.2782
Ac -1.4093 0.9122 2.7300
Ac 5.0323 0.4711 4.9050
Ac 4.9217 2.6743 1.4670
Ac 1.5004 6.0396 6.0448
Ac 1.2003 -0.7534 5.6141
Sn -3.5719 6.9263 2.8841
Sn -3.6715 2.0474 8.2163
Ac -1.0575 4.8176 3.0330
Sn 7.5468 -1.6376 5.0540
Ag 0.0000 0.0000 0.0000
Sn 2.9875 8.7214 0.4353
Ac 2.7068 2.3455 7.9018
Ac 2.4745 -0.7509 1.8933
Ac -0.9468 2.6144 6.4710
Ac 5.3842 4.3765 5.2080
Ac 2.7745 6.0421 2.3239
Sn 0.9873 -3.4328 7.5027
Sn 1.9874 2.6443 3.9690
Ac 1.2681 2.9431 0.0363

! Th5UAs6 PBE-GGA relaxed; values from VASP
! N(E_F) = 14.45 states/eV/cell
! Formation enthalpy at 0 K = -1274 meV/atom
! Uncorrected energy = -91.6 eV/cell
&SYSTEM
  ibrav = 0, nat = 12, ntyp = 3
/
ATOMIC_SPECIES
Th 232.04 Th.upf
U 238.03 U.upf
As 74.92 As.upf
CELL_PARAMETERS angstrom
-3.9538 -5.9157 -1.7117
5.0791 -0.3902 5.2544
-5.1097 3.9106 3.5238
ATOMIC_POSITIONS angstrom
Th 0.9916 0.6276 5.8343
U 0.0000 0.0000 0.0000
Th -0.9388 -4.0714 0.6134
As -3.5640 1.3993 3.5114
As -1.5358 -0.9087 6.4750
As -4.4834 -2.7118 4.2018
Th 2.0642 -2.2345 2.9293
As -0.4204 -3.7946 3.5550
Th -1.9922 -1.1976 3.5332
Th -4.9760 -3.0229 1.2321
As -2.4485 -1.4866 0.5914
As 0.4991 0.3165 2.8646

! HfThZr2 PBE-GGA relaxed; values from VASP
! N(E_F) = 4.89 states/eV/cell
! Formation enthalpy at 0 K = 103 meV/atom
! Distance to the lowest polymorph of the same formula = 0.028 eV per atom
! Uncorrected energy = -34.1 eV/cell
&SYSTEM
  ibrav = 0, nat = 4, ntyp = 3
/
ATOMIC_SPECIES
Th 232.04 Th.upf
Zr 91.22 Zr.upf
Hf 178.49 Hf.upf
CELL_PARAMETERS angstrom
-3.0293 -1.5810 3.0756
-2.2698 -2.2571 -3.3958
2.6778 -3.7561 0.7067
ATOMIC_POSITIONS angstrom
Th -1.3107 -3.7971 0.1932
Zr -1.1349 -1.1285 -1.6979
Zr 1.3389 -1.8780 0.3533
Hf -1.5146 -0.7905 1.5378

! Sm2DyEr4 PBE-GGA relaxed; values from VASP
! N(E_F) = 11.09 states/eV/cell
! Formation enthalpy at 0 K = 48 meV/atom
! Distance to the lowest polymorph of the same formula = 0.000 eV per atom
! Uncorrected energy = -32.0 eV/cell
&SYSTEM
  ibrav = 0, nat = 7, ntyp = 3
/
ATOMIC_SPECIES
Sm 150.36 Sm.upf
Dy 162.50 Dy.upf
Er 167.26 Er.upf
CELL_PARAMETERS angstrom
-2.9908 1.8067 -0.4682
-1.5981 -4.5371 -7.2593
-1.3277 -3.6631 7.6083
ATOMIC_POSITIONS angstrom
Sm -4.8366 -4.0534 1.9767
Dy 0.0000 0.0000 0.0000
Er -2.2535 -2.6691 4.0937
Sm -1.0799 -2.3401 -2.0959
Er -3.1169 -1.5556 0.6574
Er -3.6630 -3.7244 -4.2129
Er -2.7996 -4.8379 -0.7766

! Tm7AlIn2 PBE-GGA relaxed; values from VASP
! N(E_F) = 4.40 states/eV/cell
! Formation enthalpy at 0 K = 499 meV/atom
! Uncorrected energy = -35.5 eV/cell
&SYSTEM
  ibrav = 0, nat = 10, ntyp = 3
/
ATOMIC_SPECIES
Tm 168.93 Tm.upf
In 114.82 In.upf
Al 26.98 Al.upf
CELL_PARAMETERS angstrom
7.6717 0.0000 0.0000
3.8359 6.6439 0.0000
3.8359 2.2146 6.2639
ATOMIC_POSITIONS angstrom
Tm 9.6241 3.3021 4.7261
Tm 7.6717 6.6837 4.7261
In 11.5076 6.6439 4.6979
Tm 5.7193 3.3021 4.7261
Tm 7.6717 4.4293 3.1320
Al 0.0000 0.0000 0.0000
Tm 7.6717 2.1748 1.5378
Tm 9.6241 5.5565 1.5378
Tm 5.7193 5.5565 1.5378
In 3.8359 2.2146 1.5660

! ZnFeH PBE-GGA relaxed; values from VASP
! N(E_F) = 2.21 states/eV/cell
! Distance to the lowest polymorph of the same formula = 0.126 eV per atom
! Uncorrected energy = -25.2 eV/cell
&SYSTEM
  ibrav = 0, nat = 6, ntyp = 3
/
ATOMIC_SPECIES
H 1.01 H.upf
Fe 55.84 Fe.upf
Zn 65.41 Zn.upf
CELL_PARAMETERS angstrom
2.4876 -0.0347 0.6971
-0.0779 2.5513 0.4044
0.9311 -0.2332 11.0509
ATOMIC_POSITIONS angstrom
H 0.5320 1.2387 5.3577
Fe 2.9337 1.7696 11.1859
H 2.8089 1.0446 6.7947
Zn 1.1307 1.4865 3.2168
Fe 0.4072 0.5137 0.9665
Zn 2.2102 0.7968 8.9356

! SnS16I4 PBE-GGA relaxed; values from VASP
! N(E_F) = 0.00 states/eV/cell
! Uncorrected energy = -156.0 eV/cell
&SYSTEM
  ibrav = 0, nat = 42, ntyp = 3
/
ATOMIC_SPECIES
S 32.06 S.upf
I 126.90 I.upf
Sn 118.71 Sn.upf
CELL_PARAMETERS angstrom
16.4169 -0.0992 0.0751
8.3781 10.2564 0.0544
8.0388 -2.8305 9.9613
ATOMIC_POSITIONS angstrom
S 27.2754 7.2582 6.2698
I 18.0265 2.0802 0.4201
I 9.7827 4.0400 2.8458
Sn 8.2084 1.8543 2.5526
S 26.9197 3.2790 9.2280
S 13.7478 3.7496 0.7461
S 13.7141 5.5458 3.6027
I 14.8790 7.7947 7.8424
I 14.8073 -0.3587 2.2663
S 14.7678 7.2981 3.3276
S 13.9046 8.3943 1.8082
S 20.3273 4.5060 3.4046
S 10.7957 1.3694 6.4572
S 14.6764 3.4409 7.4401
I 9.7702 -0.3417 2.2738
I 17.9547 5.2341 9.7808
S 22.0381 5.6448 3.2208
S 12.5065 1.8555 5.4111
S 22.9540 5.2158 10.0058
S 18.1574 6.0286 5.4812
S 19.0861 -0.4980 3.9616
S 21.9753 3.7670 8.9127
S 18.0660 1.0236 8.0775
S 13.8611 3.6287 9.3252
Sn 16.4169 -0.0766 0.1050
S 18.1883 1.1984 4.7155
S 19.1197 1.7639 6.4657
S 26.3973 8.0915 4.5996
S 22.9099 5.8899 5.0733
S 18.9727 7.7919 6.1736
S 22.8534 1.9333 9.2615
S 28.5120 4.5896 9.2873
I 6.6341 1.5433 4.7358
S 18.6802 5.7436 3.5071
S 26.2967 7.9170 7.9610
S 20.7387 7.3954 7.1632
S 18.9291 -0.7363 8.7202
S 14.6454 4.0148 2.5834
S 22.3310 7.6941 5.8858
I 6.6468 2.1819 0.3634
S 26.3408 2.9867 7.2710
S 14.1536 1.6182 6.6301

! GaTe2I PBE-GGA relaxed; values from VASP
! N(E_F) = 3.03 states/eV/cell
! Distance to the lowest polymorph of the same formula = 0.581 eV per atom
! Uncorrected energy = -9.5 eV/cell
&SYSTEM
  ibrav = 0, nat = 4, ntyp = 3
/
ATOMIC_SPECIES
I 126.90 I.upf
Ga 69.72 Ga.upf
Te 127.60 Te.upf
CELL_PARAMETERS angstrom
4.6456 -9.1560 3.2122
7.2382 -6.5861 4.4679
4.1369 -7.4063 6.6155
ATOMIC_POSITIONS angstrom
I 8.0104 -11.5742 7.1478
Ga 0.0000 0.0000 0.0000
Te 1.2750 -1.8423 1.1377
Te 14.7457 -21.3061 13.1578

! Nb2HRu PBE-GGA relaxed; values from VASP
! N(E_F) = 3.43 states/eV/cell
! Distance to the lowest polymorph of the same formula = 0.000 eV per atom
! Uncorrected energy = -33.1 eV/cell
&SYSTEM
  ibrav = 0, nat = 4, ntyp = 3
/
ATOMIC_SPECIES
H 1.01 H.upf
Ru 101.07 Ru.upf
Nb 92.91 Nb.upf
CELL_PARAMETERS angstrom
-2.1744 1.6545 1.0163
-0.5580 0.0779 2.8602
3.5859 6.0396 2.0206
ATOMIC_POSITIONS angstrom
H 0.0000 0.0000 0.0000
Ru 0.4268 3.8860 2.9485
Nb -0.0563 1.6155 1.4306
Nb 0.9098 6.1566 4.4665